1.
# KPtF

An optimized crystal structure of KPtF (PBE, the Alexandria database).

Properties
Its space group is No. 216. The energy above the most stable polymorph in this dataset is 1531 meV per atom. The raw formation energy is 0.126 eV/atom.

Cell lengths 4.6786, 4.6786, 4.6786 Å; angles 60.00, 60.00, 60.00 degrees
Closest atoms and distances in Å follow each position.
Fractional positions:
F (0.7500, 0.7500, 0.7500)  4 Pt 2.87
Pt (0.5000, 0.5000, 0.5000)  4 F 2.87, 4 K 2.87
K (0.2500, 0.2500, 0.2500)  4 Pt 2.87

2.
# KPtF

An optimized crystal structure of KPtF (PBE, the Alexandria database).

Properties
Its space group is No. 63. The energy above the most stable polymorph in this dataset is 174 meV per atom. The raw formation energy is -1.231 eV/atom.

Cell lengths 6.8942, 6.8942, 3.6156 Å; angles 90.00, 90.00, 134.22 degrees
Closest atoms and distances in Å follow each position.
Fractional positions:
K (0.6521, 0.3479, 0.2500)  4 F 2.72-2.73
K (0.3479, 0.6521, 0.7500)  4 F 2.72-2.73
F (0.1870, 0.8130, 0.2500)  2 Pt 2.37
F (0.8130, 0.1870, 0.7500)  2 Pt 2.37
Pt (0.0664, 0.9336, 0.7500)  2 F 2.37, 2 Pt 2.47
Pt (0.9336, 0.0664, 0.2500)  2 F 2.37, 2 Pt 2.47